# 1
PBE SiMoCl2, optimized geometry; final energy = -4.88 eV/atom; formation energy (no corrections) = 0.112 eV per atom; spin magnetization = 0.00 μB per cell; SG = No. 166; polymorph energy (0 for the lowest one) = 43.4 kJ/mol of atoms
1.0
1.7529 0.0000 11.6566
-0.8765 1.5181 11.6566
-0.8765 -1.5181 11.6566
Cl Si Mo
2 1 1
Direct
0.1165 0.1165 0.1165
0.8835 0.8835 0.8835
0.0000 0.0000 0.0000
0.5000 0.5000 0.5000

# 2
PBE RbTa3Zn, optimized geometry; final energy = -4.40 eV/atom; spin magnetization = 0.00 μB per cell; SG = No. 221; ΔE_f = 3158 meV per atom; polymorph energy (0 for the lowest one) = 113.4 kJ/mol of atoms
1.0
-2.9210 3.7020 0.8346
0.5722 -0.6115 4.7151
3.7516 2.9757 -0.0693
Ta Rb Zn
3 1 1
Direct
0.0000 0.5000 0.0000
0.5000 0.0000 0.0000
0.0000 0.0000 0.5000
0.0000 0.0000 0.0000
0.5000 0.5000 0.5000

# 3
PBE V12FeP6, optimized geometry; final energy = -8.19 eV/atom; spin magnetization = 0.00 μB per cell; SG = No. 148; ΔE_f = -282 meV per atom
1.0
-3.4385 0.8474 5.5712
2.5641 -5.9860 1.0832
5.2561 3.7910 1.2576
V P Fe
12 6 1
Direct
0.9844 0.3382 0.0624
0.8128 0.5878 0.4535
0.4122 0.5465 0.1872
0.0624 0.9844 0.3382
0.1872 0.4122 0.5465
0.0156 0.6618 0.9376
0.9376 0.0156 0.6618
0.4535 0.8128 0.5878
0.5465 0.1872 0.4122
0.6618 0.9376 0.0156
0.5878 0.4535 0.8128
0.3382 0.0624 0.9844
0.3490 0.6711 0.8684
0.8684 0.3490 0.6711
0.6711 0.8684 0.3490
0.6510 0.3289 0.1316
0.1316 0.6510 0.3289
0.3289 0.1316 0.6510
0.0000 0.0000 0.0000

# 4
PBE In6IrSe2S, optimized geometry; final energy = -3.92 eV/atom; formation energy (no corrections) = -0.283 eV per atom; spin magnetization = 0.00 μB per cell; SG = No. 1
1.0
-3.5585 -2.6392 -5.0153
6.6019 -1.6892 0.6208
-3.1131 -3.0776 6.7364
Ir In Se S
1 6 2 1
Direct
0.0128 0.9812 0.9834
0.9607 0.6043 0.7563
0.1871 0.3893 0.2608
0.4714 0.0944 0.1576
0.5194 0.7444 0.8250
0.9333 0.8305 0.2518
0.0193 0.1914 0.7433
0.5907 0.8589 0.3702
0.3532 0.2686 0.5700
0.9179 0.5147 0.3841

Please write out number 2 again, unchanged.
PBE RbTa3Zn, optimized geometry; final energy = -4.40 eV/atom; spin magnetization = 0.00 μB per cell; SG = No. 221; ΔE_f = 3158 meV per atom; polymorph energy (0 for the lowest one) = 113.4 kJ/mol of atoms
1.0
-2.9210 3.7020 0.8346
0.5722 -0.6115 4.7151
3.7516 2.9757 -0.0693
Ta Rb Zn
3 1 1
Direct
0.0000 0.5000 0.0000
0.5000 0.0000 0.0000
0.0000 0.0000 0.5000
0.0000 0.0000 0.0000
0.5000 0.5000 0.5000

Q: Which of these has the highest final energy?
A: In6IrSe2S